No. 1
Entry from Alexandria via LeMat-Bulk: a relaxed La3Dy2ScSe6 crystal (PBE).

Values from the calculation:
The uncorrected formation energy comes out at -1.843 eV/atom.

abc: 4.1129 8.4332 9.3507
angles: 104.53 102.70 90.00
Atoms (fractional coordinates):
Se 0.3290 0.4274 0.6580
Se 0.3425 0.9089 0.6850
Se 0.6575 0.0911 0.3150
Se 0.9974 0.7712 0.9949
Se 0.0026 0.2288 0.0051
Se 0.6710 0.5726 0.3420
La 0.5000 0.5000 0.0000
La 0.1687 0.8352 0.3374
La 0.8313 0.1648 0.6626
Sc 0.5000 0.0000 0.0000
Dy 0.1657 0.3320 0.3314
Dy 0.8343 0.6680 0.6686

---

No. 2
Entry from Alexandria via LeMat-Bulk: a relaxed NbCrRh2 crystal (PBE).

Values from the calculation:
The energy of formation comes out at -0.27 eV/atom.

abc: 3.7696 3.9670 3.9670
angles: 90.00 90.00 90.00
Site moments in Bohr magnetons follow the coordinates.
Atoms (fractional coordinates):
Cr 0.5000 0.5000 0.5000  2.38
Rh 0.0000 0.0000 0.5000  -0.02
Rh 0.0000 0.5000 0.0000  -0.02
Nb 0.5000 0.0000 0.0000  -0.12

---

No. 3
Entry from Alexandria via LeMat-Bulk: a relaxed AcPr2HoEr4 crystal (PBE).

Values from the calculation:
The energy of formation comes out at 0.43 eV/atom.

abc: 9.6370 9.6370 11.9641
angles: 128.37 128.37 88.44
Atoms (fractional coordinates):
Ac 0.0000 0.5000 0.5000
Ac 0.0000 0.5000 0.0000
Er 0.7439 0.2318 0.9879
Er 0.2561 0.7682 0.0121
Er 0.7318 0.2439 0.4879
Er 0.2584 0.2420 0.4938
Er 0.7420 0.7584 0.9939
Er 0.2580 0.2416 0.0062
Er 0.7416 0.7580 0.5062
Er 0.2682 0.7561 0.5121
Pr 0.5000 0.0000 0.5000
Pr 0.0000 0.0000 0.5000
Pr 0.5000 0.0000 0.0000
Pr 0.5000 0.5000 0.0000
Ho 0.0000 0.0000 0.0000
Ho 0.5000 0.5000 0.5000

---

No. 4
Entry from Alexandria via LeMat-Bulk: a relaxed AgSb3N crystal (PBE).

Values from the calculation:
The uncorrected formation energy comes out at 0.602 eV/atom. The excess energy over the best structure of this formula in the dataset is 0 meV/atom.

abc: 4.7660 4.7660 4.7660
angles: 90.00 90.00 90.00
Atoms (fractional coordinates):
Sb 0.0000 0.5000 0.0000
Sb 0.0000 0.0000 0.5000
Sb 0.5000 0.0000 0.0000
Ag 0.5000 0.5000 0.5000
N 0.0000 0.0000 0.0000